## a
VASP calculation (PBE-GGA) on crystalline GaCuPd3 at its relaxed geometry.

Symmetry = P2_1/m
Calculated density = 10.40 g cm⁻³

Lattice parameters (Å, degrees): 4.171 4.183 8.539 90.00 104.08 90.00
Positions (direct):
Ga (0.151, 0.250, 0.301)
Ga (0.849, 0.750, 0.699)
Cu (0.349, 0.250, 0.697)
Cu (0.651, 0.750, 0.303)
Pd (0.059, 0.750, 0.118)
Pd (0.250, 0.750, 0.501)
Pd (0.442, 0.750, 0.883)
Pd (0.558, 0.250, 0.117)
Pd (0.750, 0.250, 0.499)
Pd (0.941, 0.250, 0.882)

***

## b
VASP calculation (PBE-GGA) on crystalline GaCuPd3 at its relaxed geometry.

Symmetry = C2/c
Calculated density = 9.97 g cm⁻³

Lattice parameters (Å, degrees): 7.032 7.032 7.788 117.74 117.74 77.07
Positions (direct):
Ga (0.041, 0.959, 0.750)
Ga (0.343, 0.657, 0.250)
Ga (0.657, 0.343, 0.750)
Ga (0.959, 0.041, 0.250)
Cu (0.180, 0.588, 0.744)
Cu (0.412, 0.820, 0.756)
Cu (0.588, 0.180, 0.244)
Cu (0.820, 0.412, 0.256)
Pd (0.039, 0.737, 0.388)
Pd (0.054, 0.328, 0.044)
Pd (0.263, 0.961, 0.112)
Pd (0.323, 0.397, 0.454)
Pd (0.328, 0.054, 0.544)
Pd (0.397, 0.323, 0.954)
Pd (0.603, 0.677, 0.046)
Pd (0.672, 0.946, 0.456)
Pd (0.677, 0.603, 0.546)
Pd (0.737, 0.039, 0.888)
Pd (0.946, 0.672, 0.956)
Pd (0.961, 0.263, 0.612)

***

## c
VASP calculation (PBE-GGA) on crystalline GaCuPd3 at its relaxed geometry.

Symmetry = Pm-3m
Calculated density = 7.69 g cm⁻³

Lattice parameters (Å, degrees): 4.606 4.606 4.606 90.00 90.00 90.00
Positions (direct):
Ga (0.000, 0.000, 0.000)
Cu (0.500, 0.500, 0.500)
Pd (0.000, 0.000, 0.500)
Pd (0.000, 0.500, 0.000)
Pd (0.500, 0.000, 0.000)

***

It is a that is most stable; the runner-up trails by 14.2 kJ/mol of atoms.